Compound: Li6TlCd2
Source: the Alexandria database
Functional: GGA-PBE
Structure: optimized geometry

Lattice parameters (Å, degrees): 3.0979 8.1333 8.1470 119.94 90.00 90.00
Sites, in units of the cell vectors:
Li (0.0000, 0.6978, 0.6974)
Li (0.0000, 0.3023, 0.0000)
Li (0.0000, 0.0004, 0.3026)
Li (0.5000, 0.3627, 0.3624)
Li (0.5000, 0.0004, 0.6376)
Li (0.5000, 0.6365, 0.0000)
Tl (0.5000, 0.9996, 0.0000)
Cd (0.0000, 0.6668, 0.3334)
Cd (0.0000, 0.3334, 0.6666)

Calculated values
The polymorph energy (0 for the lowest one) is 25 meV/atom. The calculation puts the calculated formation energy at -0.1772 eV/atom. Its theoretical density is 4396 kg/m³.